# 1
Density functional theory data (PBE-GGA) for an optimized crystal structure of Ca2Ga6Rh.

abc: 10.335 5.846 5.987
angles: 90.00 106.15 90.00
Space group C2/m (No. 12)
Unique sites:
Ca 0.146 0.000 0.348
Ga 0.121 0.500 0.185
Ga 0.131 0.228 0.829
Rh 0.000 0.500 0.500

formation enthalpy at 0 K	-505	meV per atom
total DFT energy (no corrections)	-3.785	eV per atom

# 2
Density functional theory data (PBE-GGA) for an optimized crystal structure of Ca3GaRh2.

abc: 3.810 4.672 15.436
angles: 90.00 90.00 90.00
Space group Immm (No. 71)
Unique sites:
Ca 0.000 0.000 0.000
Ca 0.000 0.500 0.315
Ga 0.000 0.000 0.500
Rh 0.000 0.500 0.111

formation enthalpy at 0 K	-439	meV per atom
total DFT energy (no corrections)	-4.395	eV per atom